Material: ScTaNi2O6
Method: DFT, PBE+U
State: optimized geometry

Values from the calculation:
* M_tot: 0.400 μB per atom
* E: -76.27 eV/cell
* N(E_F): 0.0 states/eV per cell

```
10
Lattice="2.603 1.503 4.749 -2.603 1.503 4.749 0.000 -3.006 4.749" Properties=species:S:1:pos:R:3 pbc="T T T"
Sc 0.000 0.000 0.000
Ta 0.000 0.000 7.071
Ni 0.000 0.000 4.192
Ni 0.000 0.000 11.292
O -1.546 0.017 5.667
O -0.966 -1.422 7.983
O 0.758 -1.347 5.667
O -0.749 1.548 7.983
O 0.788 1.330 5.667
O 1.715 -0.125 7.983
```